No. 1
Computed, not measured: crystalline La2YPb at its relaxed geometry at the PBE level of DFT.

Properties
**Calculated total energy**: -21.3 eV per formula unit

Unit cell a=4.946 b=4.946 c=10.370 alpha=90.00 beta=90.00 gamma=90.00
Space group I-4m2 (No. 119)
Symmetry-distinct sites (fractional):
La (0.000, 0.000, 0.000)
La (0.000, 0.500, 0.250)
Y (0.000, 0.000, 0.500)
Pb (0.000, 0.500, 0.750)

***

No. 2
Computed, not measured: crystalline Mo2HOsPd at its relaxed geometry at the PBE level of DFT.

Properties
**Calculated total energy**: -41.0 eV per formula unit
**Energy above the lowest structure with this stoichiometry**: 7 meV/atom

Unit cell a=3.979 b=3.979 c=3.959 alpha=90.00 beta=90.00 gamma=90.00
Space group P4/mmm (No. 123)
Symmetry-distinct sites (fractional):
Mo (0.000, 0.500, 0.000)
H (0.000, 0.000, 0.000)
Os (0.000, 0.000, 0.500)
Pd (0.500, 0.500, 0.500)

***

No. 3
Computed, not measured: crystalline UTlNiSe3 at its relaxed geometry at the PBE level of DFT.

Properties
**Calculated total energy**: -34.5 eV per formula unit
**ΔE_f (raw)**: -764 meV/atom

Unit cell a=9.244 b=3.981 c=9.431 alpha=90.00 beta=110.80 gamma=90.00
Space group P2_1/m (No. 11)
Symmetry-distinct sites (fractional):
U (0.185, 0.250, 0.164)
Tl (0.301, 0.750, 0.760)
Ni (0.415, 0.750, 0.410)
Se (0.039, 0.250, 0.840)
Se (0.306, 0.250, 0.475)
Se (0.388, 0.750, 0.142)

***

No. 4
Computed, not measured: crystalline Ba2MoN3 at its relaxed geometry at the PBE level of DFT.

Properties
**Calculated total energy**: -43.5 eV per formula unit
**Energy above the lowest structure with this stoichiometry**: 144 meV/atom
**ΔE_f (raw)**: -635 meV/atom

Unit cell a=10.364 b=7.303 c=5.675 alpha=90.00 beta=90.00 gamma=90.00
Space group Cmcm (No. 63)
Symmetry-distinct sites (fractional):
Ba (0.167, 0.159, 0.250)
Mo (0.000, 0.409, 0.750)
N (0.000, 0.158, 0.750)
N (0.134, 0.500, 0.000)

***

No. 5
Computed, not measured: crystalline PbS2F2 at its relaxed geometry at the PBE level of DFT.

Properties
**Calculated total energy**: -20.7 eV per formula unit
**Energy above the lowest structure with this stoichiometry**: 15 meV/atom
**ΔE_f (raw)**: -1005 meV/atom

Unit cell a=6.661 b=6.661 c=5.239 alpha=90.00 beta=90.00 gamma=90.00
Space group P4/mbm (No. 127)
Symmetry-distinct sites (fractional):
Pb (0.000, 0.000, 0.000)
S (0.101, 0.399, 0.500)
F (0.214, 0.286, 0.000)

***

No. 6
Computed, not measured: crystalline Cd2NiTe at its relaxed geometry at the PBE level of DFT.

Properties
**Calculated total energy**: -9.9 eV per formula unit
**ΔE_f (raw)**: 221 meV/atom

Unit cell a=5.511 b=11.369 c=3.334 alpha=90.00 beta=124.79 gamma=90.00
Space group C2/m (No. 12)
Symmetry-distinct sites (fractional):
Cd (0.250, 0.250, 0.000)
Ni (0.000, 0.000, 0.000)
Te (0.000, 0.500, 0.000)

***

No. 7
Computed, not measured: crystalline Pu2TaN4 at its relaxed geometry at the PBE level of DFT.

Properties
**Calculated total energy**: -80.3 eV per formula unit
**Energy above the lowest structure with this stoichiometry**: 97 meV/atom
**ΔE_f (raw)**: -920 meV/atom

Unit cell a=6.015 b=5.972 c=6.504 alpha=90.00 beta=108.01 gamma=90.00
Space group P2_1/m (No. 11)
Symmetry-distinct sites (fractional):
Pu (0.161, 0.250, 0.029)
Pu (0.247, 0.250, 0.553)
Ta (0.292, 0.750, 0.819)
N (0.050, 0.511, 0.759)
N (0.487, 0.250, 0.893)
N (0.490, 0.250, 0.348)

***

No. 8
Computed, not measured: crystalline MgMnTe2 at its relaxed geometry at the PBE level of DFT.

Properties
**Calculated total energy**: -18.5 eV per formula unit
**ΔE_f (raw)**: -368 meV/atom

Unit cell a=15.691 b=4.000 c=4.006 alpha=90.00 beta=90.21 gamma=90.00
Space group Cm (No. 8)
Symmetry-distinct sites (fractional):
Mg (0.000, 0.000, 0.000)
Mn (0.365, 0.000, 0.496)
Te (0.044, 0.500, 0.500)
Te (0.320, 0.500, 0.996)

***

No. 9
Computed, not measured: crystalline MnZnCuGe at its relaxed geometry at the PBE level of DFT.

Properties
**Calculated total energy**: -18.8 eV per formula unit

Unit cell a=6.061 b=6.061 c=6.061 alpha=90.00 beta=90.00 gamma=90.00
Space group F-43m (No. 216)
Symmetry-distinct sites (fractional):
Mn (0.000, 0.000, 0.000)
Zn (0.250, 0.250, 0.250)
Cu (0.000, 0.000, 0.500)
Ge (0.250, 0.250, 0.750)

***

No. 10
Computed, not measured: crystalline InP2SN at its relaxed geometry at the PBE level of DFT.

Properties
**Calculated total energy**: -21.4 eV per formula unit
**Energy above the lowest structure with this stoichiometry**: 0 meV/atom
**ΔE_f (raw)**: 927 meV/atom

Unit cell a=4.057 b=4.057 c=4.995 alpha=90.00 beta=90.00 gamma=90.00
Space group P4/mmm (No. 123)
Symmetry-distinct sites (fractional):
In (0.000, 0.000, 0.000)
P (0.000, 0.500, 0.500)
S (0.500, 0.500, 0.000)
N (0.500, 0.500, 0.500)

***

No. 11
Computed, not measured: crystalline Cs2BPb at its relaxed geometry at the PBE level of DFT.

Properties
**Calculated total energy**: -7.4 eV per formula unit

Unit cell a=8.881 b=8.881 c=8.881 alpha=90.00 beta=90.00 gamma=90.00
Space group Fm-3m (No. 225)
Symmetry-distinct sites (fractional):
Cs (0.250, 0.250, 0.250)
B (0.000, 0.000, 0.000)
Pb (0.000, 0.000, 0.500)

***

No. 12
Computed, not measured: crystalline BaLiSc3 at its relaxed geometry at the PBE level of DFT.

Properties
**Calculated total energy**: -20.5 eV per formula unit
**Energy above the lowest structure with this stoichiometry**: 0 meV/atom

Unit cell a=5.280 b=5.280 c=5.280 alpha=90.00 beta=90.00 gamma=90.00
Space group Pm-3m (No. 221)
Symmetry-distinct sites (fractional):
Ba (0.000, 0.000, 0.000)
Li (0.500, 0.500, 0.500)
Sc (0.000, 0.500, 0.500)